{
  "formula": "Tb4Sm3S8",
  "functional": "GGA-PBE",
  "state": "optimized geometry",
  "lattice": [[-3.441, 6.632, 2.586], [-3.518, -4.353, -5.600], [0.371, -6.354, 4.709]],
  "species": ["Tb", "Sm", "S", "S", "Tb", "S", "S", "Sm", "S", "S", "Tb", "S", "Tb", "Sm", "S"],
  "fractional_positions": [[0.000, 0.000, 0.000], [0.500, 0.000, 0.500], [0.000, 0.249, 0.751], [0.000, 0.751, 0.249], [0.500, 0.000, 0.000], [0.995, 0.247, 0.247], [0.500, 0.248, 0.752], [0.500, 0.500, 0.500], [0.503, 0.754, 0.754], [0.005, 0.753, 0.753], [0.000, 0.000, 0.500], [0.497, 0.246, 0.246], [0.000, 0.500, 0.000], [0.500, 0.500, 0.000], [0.500, 0.752, 0.248]],
  "raw_formation_energy_ev_per_atom": -2.056,
  "m_tot_mub_per_fu": 0.000,
  "crystal_system": "monoclinic",
  "sg": "C2/m"
}